No. 1
The following is a DFT calculation (GGA-PBE) of a geometry-optimized PuAsS structure.

The value obtained for the spin magnetization is 5.09 μB per formula unit. Its uncorrected energy is -51.076 eV for the cell shown. Its crystal system is tetragonal.

The structure belongs to space group I4mm (No. 107); the cell edges are 3.798, 3.798 and 9.266 Å and the angles 90.00°, 90.00° and 90.00°. The distinct sites, in fractional coordinates, are Pu at (0.000, 0.000, 0.000), As at (0.000, 0.000, 0.640) and S at (0.000, 0.000, 0.383).

=====

No. 2
The following is a DFT calculation (GGA-PBE) of a geometry-optimized Pu3AsS6 structure.

The value obtained for the spin magnetization is 15.00 μB per formula unit. Its uncorrected energy is -339.791 eV for the cell shown. Its crystal system is orthorhombic.

The structure belongs to space group Cmc2_1 (No. 36); the cell edges are 10.556, 13.290 and 6.633 Å and the angles 90.00°, 90.00° and 90.00°. The distinct sites, in fractional coordinates, are Pu at (0.000, 0.101, 0.000), Pu at (0.182, 0.400, 0.093), As at (0.000, 0.323, 0.608), S at (0.000, 0.267, 0.259), S at (0.000, 0.492, 0.855), S at (0.162, 0.240, 0.791) and S at (0.163, 0.028, 0.296).

=====

No. 3
The following is a DFT calculation (GGA-PBE) of a geometry-optimized Pu4SbAsS2 structure.

The value obtained for the spin magnetization is 0.06 μB per formula unit. Its uncorrected energy is -84.054 eV for the cell shown. Its crystal system is monoclinic.

The structure belongs to space group P2/m (No. 10); the cell edges are 7.154, 4.111 and 7.154 Å and the angles 90.00°, 109.72° and 90.00°. The distinct sites, in fractional coordinates, are Pu at (0.226, 0.000, 0.230), Pu at (0.234, 0.500, 0.752), Sb at (0.500, 0.500, 0.500), As at (0.500, 0.000, 0.000), S at (0.000, 0.000, 0.500) and S at (0.000, 0.500, 0.000).

=====

No. 4
The following is a DFT calculation (GGA-PBE) of a geometry-optimized Pu4SbAs2S structure.

The value obtained for the spin magnetization is 0.06 μB per formula unit. Its uncorrected energy is -83.039 eV for the cell shown. Its crystal system is monoclinic.

The structure belongs to space group P2/m (No. 10); the cell edges are 7.221, 4.167 and 7.260 Å and the angles 90.00°, 109.56° and 90.00°. The distinct sites, in fractional coordinates, are Pu at (0.238, 0.000, 0.234), Pu at (0.250, 0.500, 0.762), Sb at (0.500, 0.500, 0.500), As at (0.000, 0.000, 0.500), As at (0.000, 0.500, 0.000) and S at (0.500, 0.000, 0.000).

=====

No. 5
The following is a DFT calculation (GGA-PBE) of a geometry-optimized Pu8AsSe4S3 structure.

The value obtained for the spin magnetization is 45.29 μB per formula unit. Its uncorrected energy is -511.408 eV for the cell shown. Its crystal system is trigonal.

The structure belongs to space group R-3m (No. 166, hexagonal axes); the cell edges are 8.1656, 8.1656 and 20.1052 Å and the angles 90.00°, 90.00° and 120.00°. The distinct sites, in fractional coordinates, are Pu at (0.0000, 0.0000, 0.2449), Pu at (0.0050, 0.5025, 0.7538), As at (0.0000, 0.0000, 0.5000), Se at (0.0000, 0.0000, 0.0000), Se at (0.0000, 0.5000, 0.0000) and S at (0.0000, 0.5000, 0.5000).

=====

No. 6
The following is a DFT calculation (GGA-PBE) of a geometry-optimized Pu6As2SeS3 structure.

The value obtained for the spin magnetization is 10.95 μB per formula unit. Its uncorrected energy is -257.184 eV for the cell shown. Its crystal system is monoclinic.

The structure belongs to space group C2/m (No. 12); the cell edges are 17.640, 4.049 and 8.101 Å and the angles 90.00°, 103.10° and 90.00°. The distinct sites, in fractional coordinates, are Pu at (0.003, 0.000, 0.241), Pu at (0.165, 0.500, 0.089), Pu at (0.170, 0.500, 0.578), As at (0.166, 0.000, 0.833), Se at (0.000, 0.500, 0.500), S at (0.000, 0.500, 0.000) and S at (0.166, 0.000, 0.336).

=====

No. 7
The following is a DFT calculation (GGA-PBE) of a geometry-optimized Pu4As2SeS structure.

The value obtained for the spin magnetization is 0.01 μB per formula unit. Its uncorrected energy is -84.606 eV for the cell shown. Its crystal system is monoclinic.

The structure belongs to space group P2/m (No. 10); the cell edges are 7.095, 4.102 and 7.126 Å and the angles 90.00°, 109.86° and 90.00°. The distinct sites, in fractional coordinates, are Pu at (0.245, 0.000, 0.242), Pu at (0.250, 0.500, 0.754), As at (0.500, 0.000, 0.000), As at (0.500, 0.500, 0.500), Se at (0.000, 0.000, 0.500) and S at (0.000, 0.500, 0.000).

=====

No. 8
The following is a DFT calculation (GGA-PBE) of a geometry-optimized Pu4AsSe2S structure.

The value obtained for the spin magnetization is 22.42 μB per formula unit. Its uncorrected energy is -84.835 eV for the cell shown. Its crystal system is monoclinic.

The structure belongs to space group P2/m (No. 10); the cell edges are 7.105, 4.119 and 7.153 Å and the angles 90.00°, 109.48° and 90.00°. The distinct sites, in fractional coordinates, are Pu at (0.242, 0.000, 0.239), Pu at (0.248, 0.500, 0.758), As at (0.500, 0.000, 0.000), Se at (0.000, 0.000, 0.500), Se at (0.500, 0.500, 0.500) and S at (0.000, 0.500, 0.000).

=====

No. 9
The following is a DFT calculation (GGA-PBE) of a geometry-optimized Pu6AsSe3S2 structure.

The value obtained for the spin magnetization is 33.74 μB per formula unit. Its uncorrected energy is -255.374 eV for the cell shown. Its crystal system is monoclinic.

The structure belongs to space group C2/m (No. 12); the cell edges are 7.078, 12.268 and 7.121 Å and the angles 90.00°, 109.38° and 90.00°. The distinct sites, in fractional coordinates, are Pu at (0.239, 0.000, 0.238), Pu at (0.250, 0.170, 0.761), As at (0.000, 0.500, 0.000), Se at (0.000, 0.000, 0.500), Se at (0.000, 0.336, 0.500) and S at (0.000, 0.167, 0.000).

=====

No. 10
The following is a DFT calculation (GGA-PBE) of a geometry-optimized Pu4AsSeS2 structure.

The value obtained for the spin magnetization is 22.21 μB per formula unit. Its uncorrected energy is -85.915 eV for the cell shown. Its crystal system is monoclinic.

The structure belongs to space group P2/m (No. 10); the cell edges are 7.017, 4.072 and 7.046 Å and the angles 90.00°, 109.57° and 90.00°. The distinct sites, in fractional coordinates, are Pu at (0.237, 0.000, 0.244), Pu at (0.239, 0.500, 0.748), As at (0.500, 0.000, 0.000), Se at (0.500, 0.500, 0.500), S at (0.000, 0.000, 0.500) and S at (0.000, 0.500, 0.000).

=====

No. 11
The following is a DFT calculation (GGA-PBE) of a geometry-optimized TbPuAsS structure.

The value obtained for the spin magnetization is 5.48 μB per formula unit. Its uncorrected energy is -102.618 eV for the cell shown. Its crystal system is trigonal.

The structure belongs to space group R3m (No. 160, hexagonal axes); the cell edges are 4.0686, 4.0686 and 19.6457 Å and the angles 90.00°, 90.00° and 120.00°. The distinct sites, in fractional coordinates, are Tb at (0.0000, 0.0000, 0.0000), Pu at (0.0000, 0.0000, 0.5044), As at (0.0000, 0.0000, 0.7519) and S at (0.0000, 0.0000, 0.2517).

=====

No. 12
The following is a DFT calculation (GGA-PBE) of a geometry-optimized Pu4TeAs2S structure.

The value obtained for the spin magnetization is 21.83 μB per formula unit. Its uncorrected energy is -83.508 eV for the cell shown. Its crystal system is monoclinic.

The structure belongs to space group P2/m (No. 10); the cell edges are 7.253, 4.193 and 7.281 Å and the angles 90.00°, 109.48° and 90.00°. The distinct sites, in fractional coordinates, are Pu at (0.237, 0.000, 0.231), Pu at (0.246, 0.500, 0.762), Te at (0.500, 0.500, 0.500), As at (0.000, 0.000, 0.500), As at (0.000, 0.500, 0.000) and S at (0.500, 0.000, 0.000).

=====

No. 13
The following is a DFT calculation (GGA-PBE) of a geometry-optimized Pu8Te4AsS3 structure.

The value obtained for the spin magnetization is 22.40 μB per formula unit. Its uncorrected energy is -329.658 eV for the cell shown. Its crystal system is monoclinic.

The structure belongs to space group C2/m (No. 12); the cell edges are 14.512, 8.375 and 8.502 Å and the angles 90.00°, 124.73° and 90.00°. The distinct sites, in fractional coordinates, are Pu at (0.012, 0.246, 0.282), Pu at (0.238, 0.000, 0.714), Pu at (0.243, 0.500, 0.721), Te at (0.000, 0.000, 0.000), Te at (0.000, 0.500, 0.000), Te at (0.250, 0.250, 0.000), As at (0.000, 0.500, 0.500), S at (0.000, 0.000, 0.500) and S at (0.250, 0.250, 0.500).

=====

No. 14
The following is a DFT calculation (GGA-PBE) of a geometry-optimized Pu4TeAsS2 structure.

The value obtained for the spin magnetization is 0.17 μB per formula unit. Its uncorrected energy is -84.082 eV for the cell shown. Its crystal system is monoclinic.

The structure belongs to space group P2/m (No. 10); the cell edges are 7.163, 4.106 and 7.167 Å and the angles 90.00°, 109.77° and 90.00°. The distinct sites, in fractional coordinates, are Pu at (0.225, 0.000, 0.229), Pu at (0.233, 0.500, 0.753), Te at (0.500, 0.500, 0.500), As at (0.500, 0.000, 0.000), S at (0.000, 0.000, 0.500) and S at (0.000, 0.500, 0.000).

=====

No. 15
The following is a DFT calculation (GGA-PBE) of a geometry-optimized PuThAsS structure.

The value obtained for the spin magnetization is 5.50 μB per formula unit. Its uncorrected energy is -109.960 eV for the cell shown. Its crystal system is trigonal.

The structure belongs to space group R3m (No. 160, hexagonal axes); the cell edges are 4.1161, 4.1161 and 19.9832 Å and the angles 90.00°, 90.00° and 120.00°. The distinct sites, in fractional coordinates, are Pu at (0.0000, 0.0000, 0.0000), Th at (0.0000, 0.0000, 0.4926), As at (0.0000, 0.0000, 0.2486) and S at (0.0000, 0.0000, 0.7426).

=====

No. 16
The following is a DFT calculation (GGA-PBE) of a geometry-optimized PuUAsS2 structure.

The value obtained for the spin magnetization is 3.74 μB per formula unit. Its uncorrected energy is -86.137 eV for the cell shown. Its crystal system is tetragonal.

The structure belongs to space group I4mm (No. 107); the cell edges are 4.108, 4.108 and 12.363 Å and the angles 90.00°, 90.00° and 90.00°. The distinct sites, in fractional coordinates, are Pu at (0.000, 0.000, 0.000), U at (0.000, 0.000, 0.212), As at (0.000, 0.000, 0.605) and S at (0.000, 0.500, 0.352).

=====

No. 17
The following is a DFT calculation (GGA-PBE) of a geometry-optimized YPuAsS structure.

The value obtained for the spin magnetization is 5.49 μB per formula unit. Its uncorrected energy is -108.159 eV for the cell shown. Its crystal system is trigonal.

The structure belongs to space group R3m (No. 160, hexagonal axes); the cell edges are 4.0625, 4.0625 and 19.6254 Å and the angles 90.00°, 90.00° and 120.00°. The distinct sites, in fractional coordinates, are Y at (0.0000, 0.0000, 0.0000), Pu at (0.0000, 0.0000, 0.4958), As at (0.0000, 0.0000, 0.2484) and S at (0.0000, 0.0000, 0.7482).

=====

No. 18
The following is a DFT calculation (GGA-PBE) of a geometry-optimized PuZnAsS structure.

The value obtained for the spin magnetization is 4.98 μB per formula unit. Its uncorrected energy is -168.142 eV for the cell shown. Its crystal system is trigonal.

The structure belongs to space group R-3m (No. 166, hexagonal axes); the cell edges are 4.3249, 4.3249 and 32.6688 Å and the angles 90.00°, 90.00° and 120.00°. The distinct sites, in fractional coordinates, are Pu at (0.0000, 0.0000, 0.1083), Zn at (0.0000, 0.0000, 0.3042), As at (0.0000, 0.0000, 0.3841) and S at (0.0000, 0.0000, 0.1970).

=====

No. 19
The following is a DFT calculation (GGA-PBE) of a geometry-optimized Pu4SbAs2 structure.

The value obtained for the spin magnetization is 23.00 μB per formula unit. Its uncorrected energy is -306.365 eV for the cell shown. Its crystal system is tetragonal.

The structure belongs to space group I-42d (No. 122); the cell edges are 8.918, 8.918 and 8.985 Å and the angles 90.00°, 90.00° and 90.00°. The distinct sites, in fractional coordinates, are Pu at (0.077, 0.167, 0.311), Sb at (0.000, 0.000, 0.000) and As at (0.132, 0.250, 0.625).

=====

No. 20
The following is a DFT calculation (GGA-PBE) of a geometry-optimized Pu6Sb5As structure.

The value obtained for the spin magnetization is 10.31 μB per formula unit. Its uncorrected energy is -237.720 eV for the cell shown. Its crystal system is monoclinic.

The structure belongs to space group C2/m (No. 12); the cell edges are 7.586, 13.111 and 7.580 Å and the angles 90.00°, 109.48° and 90.00°. The distinct sites, in fractional coordinates, are Pu at (0.238, 0.000, 0.253), Pu at (0.239, 0.159, 0.740), Sb at (0.000, 0.174, 0.000), Sb at (0.000, 0.334, 0.500), Sb at (0.000, 0.500, 0.000) and As at (0.000, 0.000, 0.500).

=====

No. 21
The following is a DFT calculation (GGA-PBE) of a geometry-optimized Pu6SbAs3 structure.

The value obtained for the spin magnetization is 10.61 μB per formula unit. Its uncorrected energy is -216.980 eV for the cell shown. Its crystal system is monoclinic.

The structure belongs to space group C2/m (No. 12); the cell edges are 8.855, 7.262 and 9.007 Å and the angles 90.00°, 118.25° and 90.00°. The distinct sites, in fractional coordinates, are Pu at (0.093, 0.202, 0.345), Pu at (0.135, 0.500, 0.944), Sb at (0.000, 0.000, 0.000), As at (0.000, 0.500, 0.500) and As at (0.214, 0.000, 0.690).

=====

No. 22
The following is a DFT calculation (GGA-PBE) of a geometry-optimized Pu4Sb2As structure.

The value obtained for the spin magnetization is 23.00 μB per formula unit. Its uncorrected energy is -301.506 eV for the cell shown. Its crystal system is tetragonal.

The structure belongs to space group I-42d (No. 122); the cell edges are 9.114, 9.114 and 9.107 Å and the angles 90.00°, 90.00° and 90.00°. The distinct sites, in fractional coordinates, are Pu at (0.074, 0.683, 0.461), Sb at (0.116, 0.750, 0.125) and As at (0.000, 0.000, 0.500).

=====

No. 23
The following is a DFT calculation (GGA-PBE) of a geometry-optimized Pu8Sb5As structure.

The value obtained for the spin magnetization is 46.00 μB per formula unit. Its uncorrected energy is -299.308 eV for the cell shown. Its crystal system is tetragonal.

The structure belongs to space group I-4 (No. 82); the cell edges are 9.205, 9.205 and 9.181 Å and the angles 90.00°, 90.00° and 90.00°. The distinct sites, in fractional coordinates, are Pu at (0.075, 0.331, 0.460), Pu at (0.077, 0.187, 0.795), Sb at (0.000, 0.000, 0.500), Sb at (0.120, 0.247, 0.129) and As at (0.000, 0.500, 0.750).